# 1
Crystalline AsCl3 at its relaxed geometry. Source: the Alexandria database, functional PBE-GGA.

Properties
The calculation puts the spin magnetization at 0.0 μB per formula unit. The space group is Immm, No. 71. As for the total energy: -2.795 eV/atom.

```
4
Lattice="-1.677 2.519 6.764 1.677 -2.519 6.764 1.677 2.519 -6.764" Properties=species:S:1:pos:R:3 pbc="T T T"
As 0.000 0.000 0.000
Cl 1.677 0.000 1.893
Cl 0.000 0.000 6.764
Cl 0.000 2.519 4.871
```


# 2
Crystalline AsCl5 at its relaxed geometry. Source: the Alexandria database, functional PBE-GGA.

Properties
The calculation puts the spin magnetization at 0.0 μB per formula unit. The space group is Pmmn, No. 59. As for the total energy: -2.752 eV/atom.

```
12
Lattice="8.003 0.000 0.000 0.000 8.020 0.000 0.000 0.000 6.891" Properties=species:S:1:pos:R:3 pbc="T T T"
As 2.001 2.005 1.445
As 6.002 6.015 5.446
Cl 0.142 2.005 2.572
Cl 2.001 2.005 6.159
Cl 2.001 4.264 1.420
Cl 2.001 7.765 1.420
Cl 3.860 2.005 2.572
Cl 4.143 6.015 4.319
Cl 6.002 0.254 5.471
Cl 6.002 3.755 5.471
Cl 6.002 6.015 0.732
Cl 7.862 6.015 4.319
```


# 3
Crystalline AsCl3 at its relaxed geometry. Source: the Alexandria database, functional PBE-GGA.

Properties
The calculation puts the spin magnetization at 0.0 μB per formula unit. The space group is I4/mmm, No. 139. As for the total energy: -2.253 eV/atom.

```
4
Lattice="-2.280 2.280 3.752 2.280 -2.280 3.752 2.280 2.280 -3.752" Properties=species:S:1:pos:R:3 pbc="T T T"
As 0.000 0.000 0.000
Cl 2.280 0.000 1.876
Cl 0.000 0.000 3.752
Cl 0.000 2.280 1.876
```


# 4
Crystalline AsCl2 at its relaxed geometry. Source: the Alexandria database, functional PBE-GGA.

Properties
The calculation puts the energy above the most stable polymorph in this dataset at 443 meV/atom. The calculation puts the spin magnetization at 0.0 μB per formula unit. The space group is I4/mcm, No. 140. As for the total energy: -2.804 eV/atom.

```
6
Lattice="-3.232 3.232 3.055 3.232 -3.232 3.055 3.232 3.232 -3.055" Properties=species:S:1:pos:R:3 pbc="T T T"
As 0.000 0.000 1.527
As 0.000 0.000 4.582
Cl 4.457 1.225 0.000
Cl 1.225 2.008 0.000
Cl 2.008 1.225 3.055
Cl -1.225 2.008 3.055
```


The records above give, respectively, formation energy from raw total energies values of -0.25 -0.44 0.29 -0.02 eV/atom.